A plane-wave DFT calculation with PBE was carried out for crystalline TbCuIr at its relaxed geometry.

Computed properties:
- N(E_F): 2.1 states/eV per cell
- E above lowest polymorph: 0.282 eV per atom
- DFT total energy: -6.151 eV/atom
- SG: No. 107

Unit cell a=3.4369 b=3.4369 c=5.2043 alpha=109.28 beta=109.28 gamma=90.00
Positions (direct):
1 Ir 0.2656 0.2656 0.5313
2 Tb 0.9452 0.9452 0.8904
3 Cu 0.6391 0.6391 0.2783